This record from Alexandria describes a relaxed Ba3Sn2H crystal. The functional is PBE.

Computed properties:
The calculation puts the total energy at -19.8 eV/f.u. The value obtained for the density of states at the Fermi level is 0.710 states/eV/atom.

a = 8.241 Å, b = 17.668 Å, c = 5.965 Å
α = 90.00°, β = 90.00°, γ = 90.00°
Space group Imma (No. 74)
Asymmetric unit:
Ba (0.000, 0.094, 0.250) (multiplicity 8)
Ba (0.000, 0.250, 0.749) (multiplicity 4)
Sn (0.250, 0.085, 0.750) (multiplicity 8)
H (0.000, 0.250, 0.253) (multiplicity 4)


This record from Alexandria describes a relaxed Ba6Sn3H2 crystal. The functional is PBE.

Computed properties:
The calculation puts the total energy at -36.0 eV/f.u. The value obtained for the density of states at the Fermi level is 0.437 states/eV/atom.

a = 5.593 Å, b = 5.593 Å, c = 27.061 Å
α = 90.00°, β = 90.00°, γ = 90.00°
Space group I4/mmm (No. 139)
Asymmetric unit:
Ba (0.000, 0.000, 0.204) (multiplicity 4)
Ba (0.000, 0.500, 0.083) (multiplicity 8)
Sn (0.000, 0.000, 0.334) (multiplicity 4)
Sn (0.000, 0.000, 0.500) (multiplicity 2)
H (0.000, 0.000, 0.101) (multiplicity 4)


This record from Alexandria describes a relaxed BaSnH3 crystal. The functional is PBE.

Computed properties:
The calculation puts the total energy at -15.9 eV/f.u. The value obtained for the density of states at the Fermi level is 0.315 states/eV/atom. The value obtained for the excess energy over the best structure of this formula in the dataset is 0.223 eV/atom.

a = 4.351 Å, b = 4.351 Å, c = 4.351 Å
α = 90.00°, β = 90.00°, γ = 90.00°
Space group Pm-3m (No. 221)
Asymmetric unit:
Ba (0.000, 0.000, 0.000) (multiplicity 1)
Sn (0.500, 0.500, 0.500) (multiplicity 1)
H (0.000, 0.500, 0.500) (multiplicity 3)


Which of these has the lowest density of states at the Fermi level?
BaSnH3


The highest density of states at the Fermi level belongs to which entry?
Ba3Sn2H


Which of these has the highest density of states at the Fermi level?
Ba3Sn2H